# LuCuGeSeS2 | OQMD via LeMat-Bulk | PBE | optimized geometry
data_LuCuGeSeS2
_chemical_formula_sum 'Lu2 Cu2 Ge2 Se2 S4'
_cell_length_a 6.5936
_cell_length_b 6.5936
_cell_length_c 10.2976
_cell_angle_alpha 90.00
_cell_angle_beta 90.00
_cell_angle_gamma 146.72
_space_group_name_H-M_alt 'P 1'
_space_group_IT_number 1
loop_
_space_group_symop_operation_xyz
'x,y,z'
loop_
_atom_site_label
_atom_site_fract_x
_atom_site_fract_y
_atom_site_fract_z
Lu1 0.0000 0.0000 0.0000
Lu2 0.0000 0.0000 0.5000
Cu1 0.4703 0.5297 0.7500
Cu2 0.5297 0.4703 0.2500
Ge1 0.2132 0.7868 0.2500
Ge2 0.7868 0.2132 0.7500
Se1 0.0977 0.9023 0.7500
Se2 0.9023 0.0977 0.2500
S1 0.3606 0.6394 0.5709
S2 0.3606 0.6394 0.9291
S3 0.6394 0.3606 0.0709
S4 0.6394 0.3606 0.4291
# ρ: 6.14 g/cm3
# magnetic moment: 0.00 μB/cell
# VASP energy: -0.3657 Ry/atom


# LuCuGeSe2S | OQMD via LeMat-Bulk | PBE | optimized geometry
data_LuCuGeSe2S
_chemical_formula_sum 'Lu2 Cu2 Ge2 Se4 S2'
_cell_length_a 6.7657
_cell_length_b 6.7657
_cell_length_c 9.9610
_cell_angle_alpha 90.00
_cell_angle_beta 90.00
_cell_angle_gamma 146.85
_space_group_name_H-M_alt 'P 1'
_space_group_IT_number 1
loop_
_space_group_symop_operation_xyz
'x,y,z'
loop_
_atom_site_label
_atom_site_fract_x
_atom_site_fract_y
_atom_site_fract_z
Lu1 0.0000 0.0000 0.0000
Lu2 0.0000 0.0000 0.5000
Cu1 0.4795 0.5205 0.7500
Cu2 0.5205 0.4795 0.2500
Ge1 0.2416 0.7584 0.2500
Ge2 0.7584 0.2416 0.7500
Se1 0.3513 0.6487 0.5681
Se2 0.3513 0.6487 0.9319
Se3 0.6487 0.3513 0.0681
Se4 0.6487 0.3513 0.4319
S1 0.0834 0.9166 0.7500
S2 0.9166 0.0834 0.2500
# ρ: 6.67 g/cm3
# magnetic moment: 0.00 μB/cell
# VASP energy: -0.3547 Ry/atom


# LuCuGeTeS2 | OQMD via LeMat-Bulk | PBE | optimized geometry
data_LuCuGeTeS2
_chemical_formula_sum 'Lu2 Cu2 Ge2 Te2 S4'
_cell_length_a 6.8231
_cell_length_b 6.8231
_cell_length_c 10.7027
_cell_angle_alpha 90.00
_cell_angle_beta 90.00
_cell_angle_gamma 147.33
_space_group_name_H-M_alt 'P 1'
_space_group_IT_number 1
loop_
_space_group_symop_operation_xyz
'x,y,z'
loop_
_atom_site_label
_atom_site_fract_x
_atom_site_fract_y
_atom_site_fract_z
Lu1 0.0000 0.0000 0.0000
Lu2 0.0000 0.0000 0.5000
Cu1 0.4731 0.5269 0.7500
Cu2 0.5269 0.4731 0.2500
Ge1 0.1919 0.8081 0.2500
Ge2 0.8081 0.1919 0.7500
Te1 0.1122 0.8878 0.7500
Te2 0.8878 0.1122 0.2500
S1 0.3697 0.6303 0.5740
S2 0.3697 0.6303 0.9260
S3 0.6303 0.3697 0.0740
S4 0.6303 0.3697 0.4260
# ρ: 6.21 g/cm3
# magnetic moment: 0.00 μB/cell
# VASP energy: -0.3540 Ry/atom


# Lu2ScCu4Ge4 | OQMD via LeMat-Bulk | PBE | optimized geometry
data_Lu2ScCu4Ge4
_chemical_formula_sum 'Lu2 Sc1 Cu4 Ge4'
_cell_length_a 7.8290
_cell_length_b 7.8290
_cell_length_c 7.8290
_cell_angle_alpha 149.57
_cell_angle_beta 130.58
_cell_angle_gamma 59.15
_space_group_name_H-M_alt 'P 1'
_space_group_IT_number 1
loop_
_space_group_symop_operation_xyz
'x,y,z'
loop_
_atom_site_label
_atom_site_fract_x
_atom_site_fract_y
_atom_site_fract_z
Lu1 0.1281 0.1281 0.0000
Lu2 0.8719 0.8719 0.0000
Sc1 0.5000 0.0000 0.5000
Cu1 0.1359 0.3286 0.8072
Cu2 0.4786 0.6714 0.8072
Cu3 0.5214 0.3286 0.1928
Cu4 0.8641 0.6714 0.1928
Ge1 0.1984 0.5000 0.6984
Ge2 0.2852 0.7852 0.5000
Ge3 0.7148 0.2148 0.5000
Ge4 0.8016 0.5000 0.3016
# ρ: 8.52 g/cm3
# magnetic moment: 0.00 μB/cell
# VASP energy: -0.3686 Ry/atom